Entry 1:
Compound: K2Te3O8
Source: the Alexandria database
Functional: PBE-GGA
Structure: optimized geometry

Output
E_form (uncorrected)	-1477.0	kJ/mol of formula units
uncorrected energy	-5.1226	eV/atom

Cell lengths 12.904, 6.591, 5.721 Å; angles 90.00, 108.95, 90.00 degrees
Space group C2/m (No. 12)
One atom of each set of equivalent atoms:
K: 0.220 0.000 0.174 (multiplicity 4)
Te: 0.000 0.239 0.500 (multiplicity 4)
Te: 0.000 0.500 0.000 (multiplicity 2)
O: 0.084 0.287 0.895 (multiplicity 8)
O: 0.099 0.000 0.490 (multiplicity 4)
O: 0.104 0.500 0.338 (multiplicity 4)



Entry 2:
Compound: K6TeO2
Source: the Alexandria database
Functional: PBE-GGA
Structure: optimized geometry

Output
E_form (uncorrected)	-872.3	kJ/mol of formula units
uncorrected energy	-3.1871	eV/atom

Cell lengths 5.312, 5.312, 11.112 Å; angles 90.00, 90.00, 90.00 degrees
Space group P4/mmm (No. 123)
One atom of each set of equivalent atoms:
K: 0.000 0.000 0.000 (multiplicity 1)
K: 0.000 0.000 0.500 (multiplicity 1)
K: 0.000 0.500 0.219 (multiplicity 4)
Te: 0.500 0.500 0.000 (multiplicity 1)
O: 0.000 0.000 0.269 (multiplicity 2)



Entry 3:
Compound: K2Te2O5
Source: the Alexandria database
Functional: PBE-GGA
Structure: optimized geometry

Output
E_form (uncorrected)	-1209.2	kJ/mol of formula units
uncorrected energy	-5.0891	eV/atom
distance to the lowest polymorph of the same formula	0	meV per atom

Cell lengths 7.905, 15.474, 5.613 Å; angles 90.00, 93.48, 90.00 degrees
Space group P2_1/c (No. 14)
One atom of each set of equivalent atoms:
K: 0.119 0.180 0.241 (multiplicity 4)
K: 0.376 0.067 0.768 (multiplicity 4)
Te: 0.119 0.567 0.747 (multiplicity 4)
Te: 0.417 0.685 0.200 (multiplicity 4)
O: 0.057 0.147 0.729 (multiplicity 4)
O: 0.147 0.567 0.417 (multiplicity 4)
O: 0.311 0.640 0.843 (multiplicity 4)
O: 0.434 0.091 0.271 (multiplicity 4)
O: 0.446 0.243 0.999 (multiplicity 4)



Entry 4:
Compound: K3TeO4
Source: the Alexandria database
Functional: PBE-GGA
Structure: optimized geometry

Output
E_form (uncorrected)	-1049.8	kJ/mol of formula units
uncorrected energy	-4.6434	eV/atom
distance to the lowest polymorph of the same formula	0	meV per atom

Cell lengths 5.848, 5.848, 11.002 Å; angles 90.00, 90.00, 90.00 degrees
Space group I-42m (No. 121)
One atom of each set of equivalent atoms:
K: 0.000 0.000 0.000 (multiplicity 2)
K: 0.000 0.500 0.250 (multiplicity 4)
Te: 0.000 0.000 0.500 (multiplicity 2)
O: 0.192 0.192 0.399 (multiplicity 8)



Entry 5:
Compound: K3TeO
Source: the Alexandria database
Functional: PBE-GGA
Structure: optimized geometry

Output
E_form (uncorrected)	-420.6	kJ/mol of formula units
uncorrected energy	-3.1504	eV/atom
distance to the lowest polymorph of the same formula	74	meV per atom

Cell lengths 9.839, 7.155, 11.129 Å; angles 90.00, 123.22, 90.00 degrees
Space group P2_1/c (No. 14)
One atom of each set of equivalent atoms:
K: 0.023 0.032 0.267 (multiplicity 4)
K: 0.249 0.235 0.631 (multiplicity 4)
K: 0.423 0.697 0.435 (multiplicity 4)
Te: 0.203 0.726 0.581 (multiplicity 4)
O: 0.259 0.160 0.892 (multiplicity 4)



Entry 6:
Compound: K3TeO4
Source: the Alexandria database
Functional: PBE-GGA
Structure: optimized geometry

Output
E_form (uncorrected)	-1028.9	kJ/mol of formula units
uncorrected energy	-4.6164	eV/atom
distance to the lowest polymorph of the same formula	27	meV per atom

Cell lengths 6.261, 9.237, 6.222 Å; angles 90.00, 90.00, 90.00 degrees
Space group Imm2 (No. 44)
One atom of each set of equivalent atoms:
K: 0.000 0.000 0.000 (multiplicity 2)
K: 0.000 0.230 0.475 (multiplicity 4)
Te: 0.000 0.500 0.984 (multiplicity 2)
O: 0.000 0.293 0.058 (multiplicity 4)
O: 0.237 0.500 0.800 (multiplicity 4)



Entry 7:
Compound: K2Te4O9
Source: the Alexandria database
Functional: PBE-GGA
Structure: optimized geometry

Output
E_form (uncorrected)	-1827.5	kJ/mol of formula units
uncorrected energy	-5.2217	eV/atom

Cell lengths 7.703, 18.151, 8.217 Å; angles 90.00, 106.06, 90.00 degrees
Space group P2_1/c (No. 14)
One atom of each set of equivalent atoms:
K: 0.134 0.089 0.141 (multiplicity 4)
K: 0.154 0.747 0.128 (multiplicity 4)
Te: 0.183 0.093 0.684 (multiplicity 4)
Te: 0.349 0.579 0.346 (multiplicity 4)
Te: 0.383 0.242 0.969 (multiplicity 4)
Te: 0.395 0.581 0.914 (multiplicity 4)
O: 0.138 0.159 0.845 (multiplicity 4)
O: 0.164 0.006 0.833 (multiplicity 4)
O: 0.197 0.646 0.406 (multiplicity 4)
O: 0.203 0.201 0.527 (multiplicity 4)
O: 0.257 0.589 0.101 (multiplicity 4)
O: 0.388 0.056 0.422 (multiplicity 4)
O: 0.406 0.690 0.918 (multiplicity 4)
O: 0.443 0.087 0.766 (multiplicity 4)
O: 0.449 0.177 0.158 (multiplicity 4)



Entry 8:
Compound: K2Te2O7
Source: the Alexandria database
Functional: PBE-GGA
Structure: optimized geometry

Output
E_form (uncorrected)	-1295.2	kJ/mol of formula units
uncorrected energy	-5.1463	eV/atom
distance to the lowest polymorph of the same formula	0	meV per atom

Cell lengths 7.546, 10.503, 8.042 Å; angles 90.00, 90.00, 90.00 degrees
Space group Imma (No. 74)
One atom of each set of equivalent atoms:
K: 0.000 0.000 0.000 (multiplicity 4)
K: 0.250 0.250 0.250 (multiplicity 4)
Te: 0.000 0.000 0.500 (multiplicity 4)
Te: 0.250 0.250 0.750 (multiplicity 4)
O: 0.000 0.082 0.299 (multiplicity 8)
O: 0.000 0.250 0.841 (multiplicity 4)
O: 0.200 0.122 0.578 (multiplicity 16)



Entry 9:
Compound: K3TeO
Source: the Alexandria database
Functional: PBE-GGA
Structure: optimized geometry

Output
E_form (uncorrected)	-456.1	kJ/mol of formula units
uncorrected energy	-3.2240	eV/atom
distance to the lowest polymorph of the same formula	0	meV per atom

Cell lengths 5.372, 5.372, 5.372 Å; angles 90.00, 90.00, 90.00 degrees
Space group Pm-3m (No. 221)
One atom of each set of equivalent atoms:
K: 0.000 0.000 0.500 (multiplicity 3)
Te: 0.500 0.500 0.500 (multiplicity 1)
O: 0.000 0.000 0.000 (multiplicity 1)



Entry 10:
Compound: K2Te2O5
Source: the Alexandria database
Functional: PBE-GGA
Structure: optimized geometry

Output
E_form (uncorrected)	-1081.9	kJ/mol of formula units
uncorrected energy	-4.9425	eV/atom
distance to the lowest polymorph of the same formula	147	meV per atom

Cell lengths 13.744, 4.284, 6.189 Å; angles 90.00, 107.42, 90.00 degrees
Space group C2/m (No. 12)
One atom of each set of equivalent atoms:
K: 0.086 0.000 0.374 (multiplicity 4)
Te: 0.147 0.500 0.972 (multiplicity 4)
O: 0.000 0.500 0.000 (multiplicity 2)
O: 0.108 0.500 0.659 (multiplicity 4)
O: 0.168 0.000 0.000 (multiplicity 4)



Entry 11:
Compound: K3TeO6
Source: the Alexandria database
Functional: PBE-GGA
Structure: optimized geometry

Output
E_form (uncorrected)	-992.5	kJ/mol of formula units
uncorrected energy	-4.6470	eV/atom

Cell lengths 6.4904, 6.4904, 10.6092 Å; angles 90.00, 90.00, 120.00 degrees
Space group P6_322 (No. 182)
One atom of each set of equivalent atoms:
K: 0.0000 0.0000 0.0000 (multiplicity 2)
K: 0.3333 0.6667 0.0853 (multiplicity 4)
Te: 0.3333 0.6667 0.7500 (multiplicity 2)
O: 0.1060 0.4124 0.6440 (multiplicity 12)



Entry 12:
Compound: KThTeO6
Source: the Alexandria database
Functional: PBE-GGA
Structure: optimized geometry

Output
E_form (uncorrected)	-1609.0	kJ/mol of formula units
uncorrected energy	-6.4539	eV/atom

Cell lengths 5.8449, 5.8449, 5.7861 Å; angles 90.00, 90.00, 120.00 degrees
Space group P312 (No. 149)
One atom of each set of equivalent atoms:
K: 0.0000 0.0000 0.0000 (multiplicity 1)
Th: 0.3333 0.6667 0.5000 (multiplicity 1)
Te: 0.6667 0.3333 0.5000 (multiplicity 1)
O: 0.4027 0.0460 0.6907 (multiplicity 6)



Entry 13:
Compound: KTiTeO6
Source: the Alexandria database
Functional: PBE-GGA
Structure: optimized geometry

Output
E_form (uncorrected)	-1455.6	kJ/mol of formula units
uncorrected energy	-6.3300	eV/atom

Cell lengths 5.3364, 5.3364, 11.7733 Å; angles 90.00, 90.00, 120.00 degrees
Space group P-31c (No. 163)
One atom of each set of equivalent atoms:
K: 0.0000 0.0000 0.0000 (multiplicity 2)
Ti: 0.3333 0.6667 0.2500 (multiplicity 2)
Te: 0.3333 0.6667 0.7500 (multiplicity 2)
O: 0.0047 0.3953 0.6582 (multiplicity 12)



Entry 14:
Compound: K2TiTeO5
Source: the Alexandria database
Functional: PBE-GGA
Structure: optimized geometry

Output
E_form (uncorrected)	-1601.0	kJ/mol of formula units
uncorrected energy	-6.0684	eV/atom

Cell lengths 3.343, 15.489, 11.904 Å; angles 90.00, 90.00, 90.00 degrees
Space group Cmc2_1 (No. 36)
One atom of each set of equivalent atoms:
K: 0.000 0.100 0.000 (multiplicity 4)
K: 0.000 0.144 0.641 (multiplicity 4)
Ti: 0.000 0.223 0.377 (multiplicity 4)
Te: 0.000 0.453 0.792 (multiplicity 4)
O: 0.000 0.083 0.389 (multiplicity 4)
O: 0.000 0.272 0.967 (multiplicity 4)
O: 0.000 0.326 0.319 (multiplicity 4)
O: 0.000 0.330 0.761 (multiplicity 4)
O: 0.000 0.482 0.637 (multiplicity 4)



Entry 15:
Compound: KTi2TeO8
Source: the Alexandria database
Functional: PBE-GGA
Structure: optimized geometry

Output
E_form (uncorrected)	-2279.7	kJ/mol of formula units
uncorrected energy	-6.9435	eV/atom

Cell lengths 8.702, 5.951, 7.407 Å; angles 90.00, 110.97, 90.00 degrees
Space group C2/m (No. 12)
One atom of each set of equivalent atoms:
K: 0.000 0.000 0.000 (multiplicity 2)
Ti: 0.058 0.500 0.247 (multiplicity 4)
Te: 0.000 0.000 0.500 (multiplicity 2)
O: 0.023 0.229 0.695 (multiplicity 8)
O: 0.128 0.500 0.035 (multiplicity 4)
O: 0.235 0.000 0.566 (multiplicity 4)



Entry 16:
Compound: KTiTe2O8
Source: the Alexandria database
Functional: PBE-GGA
Structure: optimized geometry

Output
E_form (uncorrected)	-1590.3	kJ/mol of formula units
uncorrected energy	-5.9520	eV/atom

Cell lengths 4.950, 6.562, 4.956 Å; angles 90.00, 95.45, 90.00 degrees
Space group P2/m (No. 10)
One atom of each set of equivalent atoms:
K: 0.000 0.000 0.000 (multiplicity 1)
Ti: 0.000 0.500 0.000 (multiplicity 1)
Te: 0.500 0.255 0.500 (multiplicity 2)
O: 0.209 0.296 0.207 (multiplicity 4)
O: 0.308 0.500 0.690 (multiplicity 2)
O: 0.334 0.000 0.663 (multiplicity 2)



Entry 17:
Compound: K2TlTeO4
Source: the Alexandria database
Functional: PBE-GGA
Structure: optimized geometry

Output
E_form (uncorrected)	-752.1	kJ/mol of formula units
uncorrected energy	-4.4164	eV/atom

Cell lengths 10.041, 9.776, 7.199 Å; angles 90.00, 127.17, 90.00 degrees
Space group C2/c (No. 15)
One atom of each set of equivalent atoms:
K: 0.000 0.000 0.000 (multiplicity 4)
K: 0.250 0.250 0.000 (multiplicity 4)
Tl: 0.000 0.500 0.000 (multiplicity 4)
Te: 0.250 0.250 0.500 (multiplicity 4)
O: 0.046 0.267 0.525 (multiplicity 8)
O: 0.199 0.472 0.411 (multiplicity 8)